#P
The following is a PBE calculation of a relaxed KAgN2 crystal, from Alexandria via LeMat-Bulk.

Lattice parameters (Å, degrees): 3.3701 3.3701 20.9079 90.00 90.00 120.00
Closest atoms and distances in Å follow each position.
Space group R-3m (No. 166, hexagonal axes)
Unique sites:
K (0.0000, 0.0000, 0.0000) [3 per cell]  2 N 2.52
Ag (0.0000, 0.0000, 0.5000) [3 per cell]  6 N 2.17
N (0.0000, 0.0000, 0.1206) [6 per cell]  3 Ag 2.17

Computed properties:
For the density of states at the Fermi level, the calculation gives 0.002 states/eV/cell.

***

#Q
The following is a PBE calculation of a relaxed KAgN2 crystal, from Alexandria via LeMat-Bulk.

Lattice parameters (Å, degrees): 6.3459 6.3459 7.0615 90.00 90.00 90.00
Closest atoms and distances in Å follow each position.
Space group I-42d (No. 122)
Unique sites:
K (0.0000, 0.0000, 0.0000) [4 per cell]  8 N 2.89-3.22
Ag (0.0000, 0.0000, 0.5000) [4 per cell]  4 N 2.04
N (0.1454, 0.2500, 0.6250) [8 per cell]  2 Ag 2.04

Computed properties:
For the density of states at the Fermi level, the calculation gives 2.602 states/eV/cell.

***

#R
The following is a PBE calculation of a relaxed KAgN2 crystal, from Alexandria via LeMat-Bulk.

Lattice parameters (Å, degrees): 3.1157 3.1157 24.2823 90.00 90.00 120.00
Closest atoms and distances in Å follow each position.
Space group R-3m (No. 166, hexagonal axes)
Unique sites:
K (0.0000, 0.0000, 0.0000) [3 per cell]  6 N 2.74
Ag (0.0000, 0.0000, 0.5000) [3 per cell]  2 N 1.97
N (0.0000, 0.0000, 0.4187) [6 per cell]  1 Ag 1.97

Computed properties:
For the density of states at the Fermi level, the calculation gives 17.641 states/eV/cell.

***

Tell me which of them is the least stable. Sure, it is #R.

***

#P
The following is a PBE calculation of a relaxed KAg3N crystal, from Alexandria via LeMat-Bulk.

Lattice parameters (Å, degrees): 4.6608 4.6608 4.6608 90.00 90.00 90.00
Closest atoms and distances in Å follow each position.
Space group Pm-3m (No. 221)
Unique sites:
K (0.0000, 0.0000, 0.0000) [1 per cell]  12 Ag 3.30
Ag (0.0000, 0.5000, 0.5000) [3 per cell]  2 N 2.33
N (0.5000, 0.5000, 0.5000) [1 per cell]  6 Ag 2.33

Computed properties:
For the density of states at the Fermi level, the calculation gives 1.577 states/eV/cell.

***

#Q
The following is a PBE calculation of a relaxed KAg3N crystal, from Alexandria via LeMat-Bulk.

Lattice parameters (Å, degrees): 5.5061 5.5061 5.5061 90.00 90.00 90.00
Closest atoms and distances in Å follow each position.
Space group Pm-3m (No. 221)
Unique sites:
K (0.0000, 0.0000, 0.0000) [1 per cell]  6 Ag 2.75
Ag (0.0000, 0.0000, 0.5000) [3 per cell]  2 K 2.75
N (0.5000, 0.5000, 0.5000) [1 per cell]  12 Ag 3.89

Computed properties:
For the density of states at the Fermi level, the calculation gives 7.757 states/eV/cell.

***

Tell me which of them is the least stable. Sure, it is #Q.

***

#P
The following is a PBE calculation of a relaxed KAgSN2 crystal, from Alexandria via LeMat-Bulk.

Lattice parameters (Å, degrees): 4.9368 4.9368 6.0222 90.00 90.00 90.00
Closest atoms and distances in Å follow each position.
Space group P4/mmm (No. 123)
Unique sites:
K (0.0000, 0.0000, 0.0000) [1 per cell]  4 N 2.47
Ag (0.5000, 0.5000, 0.5000) [1 per cell]  4 S 3.49, 8 N 3.89
S (0.0000, 0.0000, 0.5000) [1 per cell]  2 K 3.01
N (0.0000, 0.5000, 0.0000) [2 per cell]  2 K 2.47

Computed properties:
For the density of states at the Fermi level, the calculation gives 2.598 states/eV/cell.

***

#Q
The following is a PBE calculation of a relaxed KAgSN2 crystal, from Alexandria via LeMat-Bulk.

Lattice parameters (Å, degrees): 4.3902 4.3902 5.1878 90.00 90.00 90.00
Closest atoms and distances in Å follow each position.
Space group P4/mmm (No. 123)
Unique sites:
K (0.0000, 0.0000, 0.0000) [1 per cell]  4 S 3.10, 8 N 3.40
Ag (0.5000, 0.5000, 0.5000) [1 per cell]  4 N 2.20
S (0.5000, 0.5000, 0.0000) [1 per cell]  2 Ag 2.59
N (0.0000, 0.5000, 0.5000) [2 per cell]  2 Ag 2.20

Computed properties:
For the density of states at the Fermi level, the calculation gives 2.269 states/eV/cell.

***

Tell me which of them is the least stable. Sure, it is #P.

***

#P
The following is a PBE calculation of a relaxed KAgSeN2 crystal, from Alexandria via LeMat-Bulk.

Lattice parameters (Å, degrees): 4.4504 4.4504 5.4136 90.00 90.00 90.00
Closest atoms and distances in Å follow each position.
Space group P4/mmm (No. 123)
Unique sites:
K (0.0000, 0.0000, 0.0000) [1 per cell]  4 Se 3.15, 8 N 3.50
Ag (0.5000, 0.5000, 0.5000) [1 per cell]  4 N 2.23
Se (0.5000, 0.5000, 0.0000) [1 per cell]  2 Ag 2.71
N (0.0000, 0.5000, 0.5000) [2 per cell]  2 Ag 2.23

Computed properties:
For the density of states at the Fermi level, the calculation gives 2.211 states/eV/cell.

***

#Q
The following is a PBE calculation of a relaxed KAgSeN2 crystal, from Alexandria via LeMat-Bulk.

Lattice parameters (Å, degrees): 4.9081 4.9081 6.3265 90.00 90.00 90.00
Closest atoms and distances in Å follow each position.
Space group P4/mmm (No. 123)
Unique sites:
K (0.0000, 0.0000, 0.0000) [1 per cell]  4 N 2.45
Ag (0.5000, 0.5000, 0.5000) [1 per cell]  4 Se 3.47
Se (0.0000, 0.0000, 0.5000) [1 per cell]  2 K 3.16, 4 Ag 3.47
N (0.0000, 0.5000, 0.0000) [2 per cell]  2 K 2.45

Computed properties:
For the density of states at the Fermi level, the calculation gives 2.783 states/eV/cell.

***

Tell me which of them is the least stable. Sure, it is #Q.